[1]
Material: Zn4Ni5W
Method: DFT, PBE
State: optimized geometry

The structure belongs to space group P4/mmm (No. 123); the cell edges are 2.7138, 2.7138 and 16.8009 Å and the angles 90.00°, 90.00° and 90.00°. Symmetry generates all atoms from Zn at (0.0000, 0.0000, 0.0976), Zn at (0.0000, 0.0000, 0.2928), Ni at (0.5000, 0.5000, 0.0000), Ni at (0.5000, 0.5000, 0.1954), Ni at (0.5000, 0.5000, 0.3923) and W at (0.0000, 0.0000, 0.5000).

Its calculated total energy is -4.880 eV/atom. The energy relative to the elements comes out at -0.185 eV per atom. The density of states at the Fermi level is 7.55 states/eV per cell.

[2]
Material: ZnNi2W
Method: DFT, PBE
State: optimized geometry

The structure belongs to space group P4mm (No. 99); the cell edges are 2.6708, 2.6708 and 7.2502 Å and the angles 90.00°, 90.00° and 90.00°. Symmetry generates all atoms from Zn at (0.0000, 0.0000, 0.0000), Ni at (0.0000, 0.0000, 0.4566), Ni at (0.5000, 0.5000, 0.2312) and W at (0.5000, 0.5000, 0.7088).

Its calculated total energy is -6.389 eV/atom. The energy relative to the elements comes out at 0.058 eV per atom. The density of states at the Fermi level is 3.52 states/eV per cell.

[3]
Material: Zn2NiW
Method: DFT, PBE
State: optimized geometry

The structure belongs to space group Pm (No. 6); the cell edges are 2.6550, 4.0313 and 5.3477 Å and the angles 90.00°, 104.21° and 90.00°. Symmetry generates all atoms from Zn at (0.0000, 0.0000, 0.0000), Zn at (0.3876, 0.5000, 0.7805), Ni at (0.1399, 0.5000, 0.2818) and W at (0.7367, 0.0000, 0.4785).

Its excess energy over the best structure of this formula in the dataset is 105.7 meV/atom. Its calculated total energy is -5.212 eV/atom. The energy relative to the elements comes out at 0.109 eV per atom. The density of states at the Fermi level is 2.50 states/eV per cell.

[4]
Material: ZnNi14W
Method: DFT, PBE
State: optimized geometry

The structure belongs to space group P4/mmm (No. 123); the cell edges are 5.0556, 5.0556 and 7.0769 Å and the angles 90.00°, 90.00° and 90.00°. Symmetry generates all atoms from Zn at (0.0000, 0.0000, 0.0000), Ni at (0.0000, 0.0000, 0.5000), Ni at (0.0000, 0.5000, 0.0000), Ni at (0.0000, 0.5000, 0.5000), Ni at (0.2507, 0.2507, 0.2547), Ni at (0.5000, 0.5000, 0.5000) and W at (0.5000, 0.5000, 0.0000).

Its calculated total energy is -5.991 eV/atom. The energy relative to the elements comes out at -0.043 eV per atom. The density of states at the Fermi level is 25.64 states/eV per cell.

[5]
Material: Zn2NiW
Method: DFT, PBE
State: optimized geometry

The structure belongs to space group P4mm (No. 99); the cell edges are 2.7491, 2.7491 and 7.3108 Å and the angles 90.00°, 90.00° and 90.00°. Symmetry generates all atoms from Zn at (0.0000, 0.0000, 0.0000), Zn at (0.5000, 0.5000, 0.2646), Ni at (0.0000, 0.0000, 0.4880) and W at (0.5000, 0.5000, 0.7263).

Its excess energy over the best structure of this formula in the dataset is 0.0 meV/atom. Its calculated total energy is -5.318 eV/atom. The energy relative to the elements comes out at 0.003 eV per atom. The density of states at the Fermi level is 2.23 states/eV per cell.

[6]
Material: Zn3Ni12W
Method: DFT, PBE
State: optimized geometry

The structure belongs to space group P4/mmm (No. 123); the cell edges are 3.5954, 3.5954 and 14.3404 Å and the angles 90.00°, 90.00° and 90.00°. Symmetry generates all atoms from Zn at (0.0000, 0.0000, 0.0000), Zn at (0.0000, 0.0000, 0.2471), Ni at (0.0000, 0.5000, 0.1243), Ni at (0.0000, 0.5000, 0.3756), Ni at (0.5000, 0.5000, 0.0000), Ni at (0.5000, 0.5000, 0.2491), Ni at (0.5000, 0.5000, 0.5000) and W at (0.0000, 0.0000, 0.5000).

Its calculated total energy is -5.516 eV/atom. The energy relative to the elements comes out at -0.132 eV per atom. The density of states at the Fermi level is 13.50 states/eV per cell.

[7]
Material: ZnNi2W
Method: DFT, PBE
State: optimized geometry

The structure belongs to space group Cmmm (No. 65); the cell edges are 5.8270, 6.7742 and 2.6375 Å and the angles 90.00°, 90.00° and 90.00°. Symmetry generates all atoms from Zn at (0.0000, 0.0000, 0.0000), Ni at (0.2500, 0.2500, 0.5000) and W at (0.0000, 0.5000, 0.0000).

Its calculated total energy is -6.406 eV/atom. The energy relative to the elements comes out at 0.042 eV per atom. The density of states at the Fermi level is 5.73 states/eV per cell.

[8]
Material: ZnNi2W
Method: DFT, PBE
State: optimized geometry

The structure belongs to space group Pm (No. 6); the cell edges are 2.6062, 4.1207 and 4.9685 Å and the angles 90.00°, 104.34° and 90.00°. Symmetry generates all atoms from Zn at (0.0000, 0.0000, 0.0000), Ni at (0.5920, 0.5000, 0.1753), Ni at (0.7279, 0.0000, 0.4714) and W at (0.3188, 0.5000, 0.6602).

Its calculated total energy is -6.430 eV/atom. The energy relative to the elements comes out at 0.018 eV per atom. The density of states at the Fermi level is 3.25 states/eV per cell.

[9]
Material: ZnNi2W
Method: DFT, PBE
State: optimized geometry

The structure belongs to space group R3m (No. 160, hexagonal axes); the cell edges are 2.6861, 2.6861 and 25.4127 Å and the angles 90.00°, 90.00° and 120.00°. Symmetry generates all atoms from Zn at (0.0000, 0.0000, 0.0000), Ni at (0.0000, 0.0000, 0.2549), Ni at (0.0000, 0.0000, 0.5103) and W at (0.0000, 0.0000, 0.7613).

Its calculated total energy is -6.309 eV/atom. The energy relative to the elements comes out at 0.138 eV per atom. The density of states at the Fermi level is 8.48 states/eV per cell.

[10]
Material: ZnNiW2
Method: DFT, PBE
State: optimized geometry

The structure belongs to space group P4mm (No. 99); the cell edges are 3.2047, 3.2047 and 5.6525 Å and the angles 90.00°, 90.00° and 90.00°. Symmetry generates all atoms from Zn at (0.0000, 0.0000, 0.0000), Ni at (0.5000, 0.5000, 0.2113), W at (0.0000, 0.0000, 0.4810) and W at (0.5000, 0.5000, 0.7261).

Its calculated total energy is -8.051 eV/atom. The energy relative to the elements comes out at 0.189 eV per atom. The density of states at the Fermi level is 2.47 states/eV per cell.

[11]
Material: ZnNi2W
Method: DFT, PBE
State: optimized geometry

The structure belongs to space group Imm2 (No. 44); the cell edges are 2.6506, 4.3970 and 8.9472 Å and the angles 90.00°, 90.00° and 90.00°. Symmetry generates all atoms from Zn at (0.0000, 0.0000, 0.0000), Ni at (0.0000, 0.0000, 0.4776), Ni at (0.0000, 0.5000, 0.7453) and W at (0.0000, 0.5000, 0.2227).

Its calculated total energy is -6.347 eV/atom. The energy relative to the elements comes out at 0.100 eV per atom. The density of states at the Fermi level is 7.23 states/eV per cell.

[12]
Material: ZnNi3W
Method: DFT, PBE
State: optimized geometry

The structure belongs to space group Pm-3m (No. 221); the cell edges are 4.5221, 4.5221 and 4.5221 Å and the angles 90.00°, 90.00° and 90.00°. Symmetry generates all atoms from Zn at (0.0000, 0.0000, 0.0000), Ni at (0.0000, 0.5000, 0.5000) and W at (0.5000, 0.5000, 0.5000).

Its excess energy over the best structure of this formula in the dataset is 134.0 meV/atom. Its calculated total energy is -4.933 eV/atom. The energy relative to the elements comes out at 1.381 eV per atom. The density of states at the Fermi level is 6.22 states/eV per cell.